Entry from Alexandria via LeMat-Bulk: Sc2AlGa2 after structural relaxation (PBEsol).

- Calculated total energy: -54.3 eV/cell
- Energy of formation from the pure elements: -61.6 kJ per mole of atoms

```
Sc2AlGa2
1.0
-1.201 2.004 -3.379
-0.561 -5.791 -3.235
-6.342 -0.484 1.967
Sc Al Ga
4 2 4
direct
0.500 0.171 0.671
0.500 0.671 0.829
0.500 0.829 0.329
0.500 0.329 0.171
0.000 0.000 0.000
0.000 0.500 0.500
0.000 0.369 0.869
0.000 0.869 0.631
0.000 0.631 0.131
0.000 0.131 0.369
```


Entry from Alexandria via LeMat-Bulk: Ti5Ga3 after structural relaxation (PBEsol).

- Calculated total energy: -110.4 eV/cell
- Energy of formation from the pure elements: -43.0 kJ per mole of atoms

```
Ti5Ga3
1.0
5.221 0.000 0.000
0.000 7.521 0.000
0.000 -3.761 6.514
Ti Ga
10 6
direct
0.750 0.000 0.237
0.250 0.237 0.237
0.250 0.763 0.000
0.750 0.237 0.000
0.750 0.763 0.763
0.250 0.000 0.763
0.500 0.333 0.667
0.000 0.667 0.333
0.500 0.667 0.333
0.000 0.333 0.667
0.750 0.000 0.605
0.250 0.605 0.605
0.250 0.395 0.000
0.750 0.605 0.000
0.750 0.395 0.395
0.250 0.000 0.395
```


Entry from Alexandria via LeMat-Bulk: TaCoRe2 after structural relaxation (PBEsol).

- Energy relative to the lowest polymorph listed for this composition: 0 meV/atom
- Calculated total energy: -47.1 eV/cell
- Energy of formation from the pure elements: -2.8 kJ per mole of atoms

```
TaCoRe2
1.0
3.780 0.000 0.000
0.000 3.780 0.000
0.000 0.000 3.965
Co Re Ta
1 2 1
direct
0.000 0.000 0.500
0.000 0.500 0.000
0.500 0.000 0.000
0.500 0.500 0.500
```


Entry from Alexandria via LeMat-Bulk: MgMnIN2 after structural relaxation (PBEsol).

- Calculated total energy: -27.8 eV/cell
- Energy relative to the elements, uncorrected: 48.62 kJ/mol of atoms

```
MgMnIN2
1.0
3.744 0.000 0.000
0.000 3.744 0.000
0.000 0.000 5.356
I Mg Mn N
1 1 1 2
direct
0.000 0.000 0.500
0.500 0.500 0.500
0.000 0.000 0.000
0.000 0.500 0.000
0.500 0.000 0.000
```


Entry from Alexandria via LeMat-Bulk: TcSn3As after structural relaxation (PBEsol).

- Calculated total energy: -22.5 eV/cell
- Energy of formation from the pure elements: 129.0 kJ per mole of atoms

```
TcSn3As
1.0
5.144 0.000 0.000
0.000 5.144 0.000
0.000 0.000 5.144
As Sn Tc
1 3 1
direct
0.000 0.000 0.000
0.000 0.500 0.000
0.000 0.000 0.500
0.500 0.000 0.000
0.500 0.500 0.500
```


Entry from Alexandria via LeMat-Bulk: AgOsPb2 after structural relaxation (PBEsol).

- Energy relative to the lowest polymorph listed for this composition: 211 meV/atom
- Calculated total energy: -20.0 eV/cell
- Energy of formation from the pure elements: 84.0 kJ per mole of atoms

```
AgOsPb2
1.0
-3.294 0.869 -0.063
-1.144 -4.311 0.329
0.005 0.410 5.399
Ag Os Pb
1 1 2
direct
0.500 0.500 0.000
0.000 0.500 0.500
0.000 0.000 0.000
0.500 0.000 0.500
```


Entry from Alexandria via LeMat-Bulk: LaSb2As2 after structural relaxation (PBEsol).

- Calculated total energy: -25.4 eV/cell
- Energy relative to the elements, uncorrected: -14.80 kJ/mol of atoms

```
LaSb2As2
1.0
4.154 0.000 0.000
0.000 4.154 0.000
-2.077 -2.077 7.534
Sb As La
2 2 1
direct
0.401 0.401 0.802
0.599 0.599 0.198
0.250 0.750 0.500
0.750 0.250 0.500
0.000 0.000 0.000
```


Entry from Alexandria via LeMat-Bulk: LaY2Sc after structural relaxation (PBEsol).

- Energy relative to the lowest polymorph listed for this composition: 26 meV/atom
- Calculated total energy: -25.3 eV/cell
- Energy of formation from the pure elements: 6.6 kJ per mole of atoms

```
LaY2Sc
1.0
-4.227 2.072 -1.445
-2.516 -3.694 2.066
3.157 3.318 3.912
Y Sc La
2 1 1
direct
0.750 0.250 0.500
0.250 0.750 0.500
0.000 0.000 0.000
0.500 0.500 0.000
```


Entry from Alexandria via LeMat-Bulk: Al2HgRh after structural relaxation (PBEsol).

- Calculated total energy: -17.8 eV/cell
- Energy of formation from the pure elements: -21.0 kJ per mole of atoms

```
Al2HgRh
1.0
-2.751 0.996 -0.191
-1.013 -2.720 0.415
-0.094 1.190 7.569
Rh Hg Al
1 1 2
direct
0.500 0.500 0.787
0.000 0.000 0.520
0.000 0.000 0.966
0.500 0.500 0.226
```


Entry from Alexandria via LeMat-Bulk: MnPtAu2 after structural relaxation (PBEsol).

- Calculated total energy: -24.7 eV/cell
- Energy of formation from the pure elements: -2.9 kJ per mole of atoms

```
MnPtAu2
1.0
2.956 0.000 0.000
0.000 4.756 -0.003
-1.478 -1.065 4.471
Mn Au Pt
1 2 1
direct
0.496 0.492 0.992
0.002 0.001 0.004
0.243 0.746 0.486
0.759 0.262 0.518
```


Entry from Alexandria via LeMat-Bulk: AgOsPb2 after structural relaxation (PBEsol).

- Energy relative to the lowest polymorph listed for this composition: 0 meV/atom
- Calculated total energy: -20.9 eV/cell
- Energy of formation from the pure elements: 63.6 kJ per mole of atoms

```
AgOsPb2
1.0
3.030 0.000 0.000
0.000 3.924 0.000
0.000 0.000 7.343
Ag Os Pb
1 1 2
direct
0.000 0.000 0.535
0.500 0.500 0.717
0.000 0.000 0.931
0.500 0.500 0.317
```


Entry from Alexandria via LeMat-Bulk: Sr7Li after structural relaxation (PBEsol).

- Calculated total energy: -14.5 eV/cell
- Energy of formation from the pure elements: 4.7 kJ per mole of atoms

```
Sr7Li
1.0
-4.759 -4.716 -4.758
-2.295 -7.454 2.588
-7.821 -1.391 2.105
Sr Li
7 1
direct
0.500 0.000 0.500
0.000 0.000 0.500
0.000 0.500 0.500
0.000 0.500 0.000
0.500 0.500 0.000
0.500 0.000 0.000
0.500 0.500 0.500
0.000 0.000 0.000
```


Copy entry 5 word for word.
Entry from Alexandria via LeMat-Bulk: TcSn3As after structural relaxation (PBEsol).

- Calculated total energy: -22.5 eV/cell
- Energy of formation from the pure elements: 129.0 kJ per mole of atoms

```
TcSn3As
1.0
5.144 0.000 0.000
0.000 5.144 0.000
0.000 0.000 5.144
As Sn Tc
1 3 1
direct
0.000 0.000 0.000
0.000 0.500 0.000
0.000 0.000 0.500
0.500 0.000 0.000
0.500 0.500 0.500
```